# LiSn3Se | Alexandria | PBE | optimized geometry
# **Calculated density**: 4.2 g cm⁻³
# **Energy relative to the lowest polymorph listed for this composition**: 123.0 meV/atom
# **Formation energy from raw total energies**: 277 meV/atom
# **Symmetry**: Pm-3m
data_LiSn3Se
_chemical_formula_sum 'Li1 Sn3 Se1'
_cell_length_a 5.595
_cell_length_b 5.595
_cell_length_c 5.595
_cell_angle_alpha 90.00
_cell_angle_beta 90.00
_cell_angle_gamma 90.00
_space_group_name_H-M_alt 'P 1'
_space_group_IT_number 1
loop_
_space_group_symop_operation_xyz
'x,y,z'
loop_
_atom_site_label
_atom_site_type_symbol
_atom_site_fract_x
_atom_site_fract_y
_atom_site_fract_z
Li1 Li 0.000 0.000 0.000
Sn1 Sn 0.000 0.500 0.500
Sn2 Sn 0.500 0.000 0.500
Sn3 Sn 0.500 0.500 0.000
Se1 Se 0.500 0.500 0.500